DFT (meta-GGA SCAN) results for TaMoIN2 at its PBEsol-relaxed geometry.

Results
* SG: P4/mmm
* N(E_F): 0.32 states/eV per atom
* ΔE_f (raw): 0.826 eV per atom
* size of the total moment: 0.725 μB per atom

abc: 4.023 4.023 5.673
angles: 90.00 90.00 90.00
Fractional coordinates of all 5 atoms:
Ta 0.000 0.000 0.000
Mo 0.500 0.500 0.500
N 0.000 0.500 0.000
N 0.500 0.000 0.000
I 0.000 0.000 0.500

DFT (meta-GGA SCAN) results for Na2CuBS at its PBEsol-relaxed geometry.

Results
* SG: P4/mmm
* N(E_F): 0.45 states/eV per atom
* ΔE_f (raw): 0.281 eV per atom
* size of the total moment: 0.000 μB per atom

abc: 3.801 4.931 4.931
angles: 90.00 90.00 90.00
Fractional coordinates of all 5 atoms:
B 0.000 0.000 0.000
Cu 0.500 0.000 0.000
S 0.500 0.500 0.500
Na 0.000 0.500 0.000
Na 0.000 0.000 0.500